(1)
## HoMgAg (SCAN)

Data for a PBEsol-optimized structure of HoMgAg.

Calculated values
Volume = 22.3 A^3/atom
E = -28.785 eV per atom
ΔE_f = -0.34 eV per atom

a b c (Å): 4.028 7.593 7.593
angles (deg): 120.00 90.00 90.00
Sites, in units of the cell vectors:
Ho1 0.500 0.000 0.587
Ho2 0.500 0.413 0.413
Ho3 0.500 0.587 0.000
Mg1 0.000 0.248 0.000
Mg2 0.000 0.000 0.248
Mg3 0.000 0.752 0.752
Ag1 0.000 0.333 0.667
Ag2 0.000 0.667 0.333
Ag3 0.500 0.000 0.000



(2)
## Ho2AgOs (SCAN)

Data for a PBEsol-optimized structure of Ho2AgOs.

Calculated values
Volume = 20.1 A^3/atom
E = -50.733 eV per atom
ΔE_f = -0.43 eV per atom

a b c (Å): 4.841 4.841 4.841
angles (deg): 60.00 60.00 60.00
Sites, in units of the cell vectors:
Ag1 0.500 0.500 0.500
Ho1 0.750 0.750 0.750
Ho2 0.250 0.250 0.250
Os1 0.000 0.000 0.000



(3)
## HoAgSn (SCAN)

Data for a PBEsol-optimized structure of HoAgSn.

Calculated values
Volume = 22.5 A^3/atom
E = -39.380 eV per atom
ΔE_f = -0.62 eV per atom

a b c (Å): 4.637 4.637 7.240
angles (deg): 90.00 90.00 120.00
Sites, in units of the cell vectors:
Ho1 0.000 0.000 0.500
Ho2 0.000 0.000 0.000
Ag1 0.333 0.667 0.300
Ag2 0.333 0.667 0.700
Sn1 0.667 0.333 0.775
Sn2 0.667 0.333 0.225



(4)
## HoAgSn (SCAN)

Data for a PBEsol-optimized structure of HoAgSn.

Calculated values
Volume = 22.5 A^3/atom
E = -39.450 eV per atom
ΔE_f = -0.69 eV per atom

a b c (Å): 4.644 4.644 7.231
angles (deg): 90.00 90.00 120.00
Sites, in units of the cell vectors:
Ag1 0.333 0.667 0.459
Ag2 0.667 0.333 0.959
Ho1 0.000 0.000 0.773
Ho2 0.000 0.000 0.273
Sn1 0.333 0.667 0.051
Sn2 0.667 0.333 0.551



(5)
## YHoAg2 (SCAN)

Data for a PBEsol-optimized structure of YHoAg2.

Calculated values
Volume = 22.6 A^3/atom
E = -35.295 eV per atom
ΔE_f = -0.40 eV per atom

a b c (Å): 5.041 5.041 5.041
angles (deg): 60.00 60.00 60.00
Sites, in units of the cell vectors:
Ag1 0.250 0.250 0.250
Ag2 0.750 0.750 0.750
Ho1 0.500 0.500 0.500
Y1 0.000 0.000 0.000



(6)
## In3AgI (SCAN)

Data for a PBEsol-optimized structure of In3AgI.

Calculated values
Volume = 45.8 A^3/atom
Formation energy without anion corrections = 0.76 eV per atom
E = -32.889 eV per atom

a b c (Å): 6.119 6.119 6.119
angles (deg): 90.00 90.00 90.00
Sites, in units of the cell vectors:
I1 0.000 0.000 0.000
Ag1 0.500 0.500 0.500
In1 0.500 0.000 0.000
In2 0.000 0.500 0.000
In3 0.000 0.000 0.500



(7)
## K2InAgI6 (SCAN)

Data for a PBEsol-optimized structure of K2InAgI6.

Calculated values
Volume = 39.2 A^3/atom
Formation energy without anion corrections = -0.84 eV per atom
E = -31.029 eV per atom

a b c (Å): 8.215 8.215 8.215
angles (deg): 60.00 60.00 60.00
Sites, in units of the cell vectors:
In1 0.000 0.000 0.000
K1 0.750 0.750 0.750
K2 0.250 0.250 0.250
I1 0.251 0.749 0.251
I2 0.251 0.251 0.749
I3 0.749 0.251 0.251
I4 0.749 0.749 0.251
I5 0.749 0.251 0.749
I6 0.251 0.749 0.749
Ag1 0.500 0.500 0.500



(8)
## InAgIN2 (SCAN)

Data for a PBEsol-optimized structure of InAgIN2.

Calculated values
Volume = 22.0 A^3/atom
Formation energy without anion corrections = 1.50 eV per atom
E = -22.520 eV per atom

a b c (Å): 4.323 4.323 5.877
angles (deg): 90.00 90.00 90.00
Each line ends with the local moment (μB).
Sites, in units of the cell vectors:
N1 0.500 0.000 0.000  1.27
N2 0.000 0.500 0.000  1.27
In1 0.500 0.500 0.500  0.02
Ag1 0.000 0.000 0.000  0.22
I1 0.000 0.000 0.500  0.09



(9)
## InAg2PbI (SCAN)

Data for a PBEsol-optimized structure of InAg2PbI.

Calculated values
Volume = 33.4 A^3/atom
Formation energy without anion corrections = 0.73 eV per atom
E = -41.002 eV per atom

a b c (Å): 5.207 5.207 6.155
angles (deg): 90.00 90.00 90.00
Sites, in units of the cell vectors:
I1 0.000 0.000 0.000
In1 0.000 0.000 0.500
Ag1 0.000 0.500 0.000
Ag2 0.500 0.000 0.000
Pb1 0.500 0.500 0.500



(10)
## InAgTe2I (SCAN)

Data for a PBEsol-optimized structure of InAgTe2I.

Calculated values
Volume = 32.5 A^3/atom
Formation energy without anion corrections = 0.22 eV per atom
E = -34.977 eV per atom

a b c (Å): 5.372 5.372 5.632
angles (deg): 90.00 90.00 90.00
Sites, in units of the cell vectors:
Te1 0.500 0.000 0.000
Te2 0.000 0.500 0.000
I1 0.000 0.000 0.500
Ag1 0.000 0.000 0.000
In1 0.500 0.500 0.500



(11)
## AgSbIrI2 (SCAN)

Data for a PBEsol-optimized structure of AgSbIrI2.

Calculated values
Volume = 30.1 A^3/atom
Formation energy without anion corrections = 0.53 eV per atom
E = -42.111 eV per atom

a b c (Å): 4.883 5.555 5.555
angles (deg): 90.00 90.00 90.00
Sites, in units of the cell vectors:
I1 0.000 0.500 0.000
I2 0.000 0.000 0.500
Sb1 0.500 0.000 0.000
Ir1 0.000 0.000 0.000
Ag1 0.500 0.500 0.500



(12)
## AgSb2IrI (SCAN)

Data for a PBEsol-optimized structure of AgSb2IrI.

Calculated values
Volume = 28.6 A^3/atom
Formation energy without anion corrections = 0.59 eV per atom
E = -42.151 eV per atom

a b c (Å): 5.035 5.035 5.648
angles (deg): 90.00 90.00 90.00
Sites, in units of the cell vectors:
Sb1 0.000 0.500 0.000
Sb2 0.500 0.000 0.000
Ag1 0.500 0.500 0.500
I1 0.000 0.000 0.500
Ir1 0.000 0.000 0.000



(13)
## K2NdAgI6 (SCAN)

Data for a PBEsol-optimized structure of K2NdAgI6.

Calculated values
Volume = 42.8 A^3/atom
Formation energy without anion corrections = -1.25 eV per atom
E = -32.453 eV per atom

a b c (Å): 8.457 8.457 8.457
angles (deg): 60.00 60.00 60.00
Sites, in units of the cell vectors:
Nd1 0.500 0.500 0.500
I1 0.755 0.245 0.755
I2 0.245 0.755 0.245
I3 0.755 0.245 0.245
I4 0.245 0.245 0.755
I5 0.755 0.755 0.245
I6 0.245 0.755 0.755
K1 0.750 0.750 0.750
K2 0.250 0.250 0.250
Ag1 0.000 0.000 0.000



(14)
## KAgI2O (SCAN)

Data for a PBEsol-optimized structure of KAgI2O.

Calculated values
Volume = 27.3 A^3/atom
Formation energy without anion corrections = -0.48 eV per atom
E = -24.363 eV per atom

a b c (Å): 4.046 5.813 5.813
angles (deg): 90.00 90.00 90.00
Each line ends with the local moment (μB).
Sites, in units of the cell vectors:
I1 0.000 0.000 0.500  0.08
I2 0.000 0.500 0.000  0.08
K1 0.500 0.500 0.500  0.00
O1 0.500 0.000 0.000  0.55
Ag1 0.000 0.000 0.000  0.15



(15)
## K2PrAgI6 (SCAN)

Data for a PBEsol-optimized structure of K2PrAgI6.

Calculated values
Volume = 43.2 A^3/atom
Formation energy without anion corrections = -1.25 eV per atom
E = -32.427 eV per atom

a b c (Å): 8.486 8.486 8.486
angles (deg): 60.00 60.00 60.00
Sites, in units of the cell vectors:
I1 0.244 0.756 0.244
I2 0.244 0.756 0.756
I3 0.756 0.244 0.756
I4 0.756 0.244 0.244
I5 0.244 0.244 0.756
I6 0.756 0.756 0.244
K1 0.250 0.250 0.250
K2 0.750 0.750 0.750
Pr1 0.500 0.500 0.500
Ag1 0.000 0.000 0.000



(16)
## K2AgSbI6 (SCAN)

Data for a PBEsol-optimized structure of K2AgSbI6.

Calculated values
Volume = 40.5 A^3/atom
Formation energy without anion corrections = -0.78 eV per atom
E = -31.350 eV per atom

a b c (Å): 8.306 8.306 8.306
angles (deg): 60.00 60.00 60.00
Sites, in units of the cell vectors:
Ag1 0.500 0.500 0.500
I1 0.254 0.254 0.746
I2 0.254 0.746 0.254
I3 0.746 0.746 0.254
I4 0.254 0.746 0.746
I5 0.746 0.254 0.254
I6 0.746 0.254 0.746
K1 0.750 0.750 0.750
K2 0.250 0.250 0.250
Sb1 0.000 0.000 0.000



(17)
## KAgTe2I (SCAN)

Data for a PBEsol-optimized structure of KAgTe2I.

Calculated values
Volume = 43.0 A^3/atom
Formation energy without anion corrections = 0.72 eV per atom
E = -29.469 eV per atom

a b c (Å): 6.093 5.940 5.940
angles (deg): 90.00 90.00 90.00
Each line ends with the local moment (μB).
Sites, in units of the cell vectors:
Te1 0.000 0.500 0.000  0.75
Te2 0.000 0.000 0.500  0.75
I1 0.500 0.000 0.000  0.20
K1 0.000 0.000 0.000  0.04
Ag1 0.500 0.500 0.500  -0.04



(18)
## K2TlAgI6 (SCAN)

Data for a PBEsol-optimized structure of K2TlAgI6.

Calculated values
Volume = 40.2 A^3/atom
Formation energy without anion corrections = -0.75 eV per atom
E = -34.829 eV per atom

a b c (Å): 8.286 8.286 8.286
angles (deg): 60.00 60.00 60.00
Sites, in units of the cell vectors:
I1 0.743 0.257 0.257
I2 0.257 0.743 0.257
I3 0.743 0.743 0.257
I4 0.743 0.257 0.743
I5 0.257 0.257 0.743
I6 0.257 0.743 0.743
K1 0.250 0.250 0.250
K2 0.750 0.750 0.750
Tl1 0.000 0.000 0.000
Ag1 0.500 0.500 0.500



(19)
## LaAgIN2 (SCAN)

Data for a PBEsol-optimized structure of LaAgIN2.

Calculated values
Volume = 19.5 A^3/atom
Formation energy without anion corrections = 0.85 eV per atom
E = -25.109 eV per atom

a b c (Å): 4.383 4.383 5.069
angles (deg): 90.00 90.00 90.00
Each line ends with the local moment (μB).
Sites, in units of the cell vectors:
I1 0.000 0.000 0.500  0.02
La1 0.500 0.500 0.500  -0.09
N1 0.500 0.000 0.000  0.54
N2 0.000 0.500 0.000  0.54
Ag1 0.000 0.000 0.000  0.03



(20)
## LaAgI4O12 (SCAN)

Data for a PBEsol-optimized structure of LaAgI4O12.

Calculated values
Volume = 15.7 A^3/atom
Formation energy without anion corrections = -0.92 eV per atom
E = -17.376 eV per atom

a b c (Å): 5.578 12.777 16.107
angles (deg): 90.40 99.97 90.00
Sites, in units of the cell vectors:
O1 0.407 0.873 0.078
O2 0.746 0.079 0.595
O3 0.640 0.550 0.173
O4 0.632 0.248 0.252
O5 0.576 0.432 0.339
O6 0.306 0.033 0.314
O7 0.672 0.373 0.078
O8 0.334 0.441 0.731
O9 0.224 0.988 0.556
O10 0.622 0.648 0.420
O11 0.871 0.177 0.069
O12 0.398 0.941 0.731
O13 0.859 0.052 0.766
O14 0.929 0.502 0.942
O15 0.408 0.423 0.904
O16 0.719 0.365 0.528
O17 0.362 0.277 0.605
O18 0.620 0.748 0.252
O19 0.910 0.834 0.043
O20 0.387 0.242 0.806
O21 0.162 0.653 0.454
O22 0.906 0.713 0.894
O23 0.061 0.331 0.431
O24 0.863 0.755 0.698
O25 0.763 0.932 0.339
O26 0.013 0.002 0.942
O27 0.133 0.334 0.043
O28 0.798 0.148 0.420
O29 0.008 0.533 0.314
O30 0.421 0.130 0.977
O31 0.907 0.552 0.766
O32 0.292 0.153 0.454
O33 0.083 0.806 0.259
O34 0.176 0.306 0.259
O35 0.243 0.777 0.605
O36 0.198 0.677 0.069
O37 0.850 0.579 0.595
O38 0.115 0.509 0.164
O39 0.419 0.742 0.806
O40 0.370 0.831 0.431
O41 0.556 0.630 0.977
O42 0.532 0.050 0.173
O43 0.835 0.255 0.698
O44 0.988 0.213 0.894
O45 0.496 0.923 0.904
O46 0.333 0.488 0.556
O47 0.809 0.865 0.528
O48 0.049 0.009 0.164
I1 0.187 0.794 0.004
I2 0.453 0.714 0.495
I3 0.217 0.363 0.811
I4 0.657 0.135 0.691
I5 0.042 0.214 0.495
I6 0.064 0.897 0.615
I7 0.708 0.596 0.887
I8 0.817 0.294 0.004
I9 0.551 0.397 0.615
I10 0.868 0.796 0.333
I11 0.881 0.456 0.218
I12 0.338 0.956 0.218
I13 0.464 0.296 0.333
I14 0.179 0.096 0.887
I15 0.035 0.635 0.691
I16 0.594 0.863 0.811
La1 0.536 0.003 0.458
La2 0.922 0.503 0.458
La3 0.329 0.501 0.044
La4 0.715 0.001 0.044
Ag1 0.359 0.617 0.276
Ag2 0.918 0.117 0.276
Ag3 0.818 0.704 0.133
Ag4 0.315 0.204 0.133